The following is a DFT calculation (PBE-GGA) of a relaxed structure of Rb2TaNbAg.

Calculated values
Formation energy from the elements (eV/atom): 1.6123
DFT total energy (Ha/atom): -0.137
Density of states at the Fermi level (states/eV per atom): 0.951
Space-group type: P4/mmm, No. 123

a b c (Å): 6.813 4.752 6.813
angles (deg): 90.00 90.00 90.00
Fractional coordinates of all 5 atoms:
Nb  0.000  0.000  0.000
Rb  0.000  0.000  0.500
Rb  0.500  0.000  0.000
Ag  0.500  0.500  0.500
Ta  0.000  0.500  0.000


The following is a DFT calculation (PBE-GGA) of a relaxed structure of TiBeIO2.

Calculated values
Energy relative to the lowest polymorph listed for this composition (eV/atom): 0.000
Raw formation energy (eV/atom): -1.0765
DFT total energy (Ha/atom): -0.209
Density of states at the Fermi level (states/eV per atom): 0.189
Space-group type: P4/mmm, No. 123

a b c (Å): 3.794 3.794 5.979
angles (deg): 90.00 90.00 90.00
Fractional coordinates of all 5 atoms:
I  0.000  0.000  0.500
Be  0.500  0.500  0.500
O  0.000  0.500  0.000
O  0.500  0.000  0.000
Ti  0.000  0.000  0.000


The following is a DFT calculation (PBE-GGA) of a relaxed structure of KLa2AgO4.

Calculated values
Raw formation energy (eV/atom): -2.3375
DFT total energy (Ha/atom): -0.240
Density of states at the Fermi level (states/eV per atom): 0.000
Space-group type: Cmcm, No. 63

a b c (Å): 3.802 6.637 12.522
angles (deg): 90.00 90.00 106.64
Fractional coordinates of all 16 atoms:
K  0.058  0.116  0.750
K  0.942  0.884  0.250
La  0.370  0.739  0.563
La  0.630  0.261  0.063
La  0.630  0.261  0.437
La  0.370  0.739  0.937
Ag  0.764  0.529  0.750
Ag  0.236  0.471  0.250
O  0.246  0.492  0.084
O  0.754  0.508  0.584
O  0.754  0.508  0.916
O  0.246  0.492  0.416
O  0.000  0.000  0.500
O  0.000  0.000  0.000
O  0.414  0.827  0.750
O  0.586  0.173  0.250


The following is a DFT calculation (PBE-GGA) of a relaxed structure of Er4SiPt3.

Calculated values
Raw formation energy (eV/atom): -1.1725
DFT total energy (Ha/atom): -0.235
Density of states at the Fermi level (states/eV per atom): 0.743
Space-group type: Pmm2, No. 25

a b c (Å): 3.867 4.241 10.635
angles (deg): 90.00 90.00 90.00
Fractional coordinates of all 8 atoms:
Si  0.500  0.500  0.077
Pt  0.000  0.500  0.588
Pt  0.000  0.000  0.409
Pt  0.500  0.000  0.924
Er  0.500  0.500  0.360
Er  0.000  0.500  0.859
Er  0.000  0.000  0.140
Er  0.500  0.000  0.644


The following is a DFT calculation (PBE-GGA) of a relaxed structure of ZrPb2W.

Calculated values
Energy relative to the lowest polymorph listed for this composition (eV/atom): 0.320
Formation energy from the elements (eV/atom): 0.6671
DFT total energy (Ha/atom): -0.241
Density of states at the Fermi level (states/eV per atom): 0.947
Space-group type: P4/mmm, No. 123

a b c (Å): 4.728 4.728 3.917
angles (deg): 90.00 90.00 90.00
Fractional coordinates of all 4 atoms:
Pb  0.000  0.000  0.000
Pb  0.500  0.500  0.000
W  0.500  0.000  0.500
Zr  0.000  0.500  0.500


The following is a DFT calculation (PBE-GGA) of a relaxed structure of PbW.

Calculated values
Energy relative to the lowest polymorph listed for this composition (eV/atom): 0.447
Formation energy from the elements (eV/atom): 0.9413
DFT total energy (Ha/atom): -0.272
Density of states at the Fermi level (states/eV per atom): 0.677
Space-group type: Pmma, No. 51

a b c (Å): 2.917 4.385 7.764
angles (deg): 90.00 90.00 90.00
Fractional coordinates of all 4 atoms:
Pb  0.000  0.000  0.964
Pb  0.000  0.500  0.370
W  0.500  0.000  0.578
W  0.500  0.500  0.755